DFT (PBE+U) results for a geometry-optimized Mn2ClOF structure.

a = 3.6728 Å, b = 6.4329 Å, c = 7.6105 Å
α = 84.95°, β = 76.04°, γ = 73.41°
With the nearest neighbours (Å) after each atom.
Element x y z (fractional)
F 0.0906 0.9997 0.8192  3 Mn 2.15-2.26
Mn 0.4174 0.8524 0.3128  1 O 2.05, 2 F 2.26
Mn 0.5826 0.1476 0.6872  1 O 2.05, 2 F 2.26
F 0.9094 0.0003 0.1808  3 Mn 2.15-2.26
Mn 0.8278 0.3069 0.0375  3 O 2.11-2.15, 1 F 2.15
O 0.3721 0.3539 0.9020  4 Mn 2.05-2.15
Cl 0.1541 0.2418 0.4500  3 Mn 2.60-2.63
Mn 0.1722 0.6931 0.9625  3 O 2.11-2.15, 1 F 2.15
O 0.6279 0.6461 0.0980  4 Mn 2.05-2.15
Cl 0.8459 0.7582 0.5500  3 Mn 2.60-2.63

The volume comes out at 16.72 A^3/atom. Its energy is -6.513 eV/atom.